Below is a geometry-optimized AcCe2TcO8 structure, with properties calculated at the PBE-GGA level.

Properties
**Formation energy without anion corrections**: -3127.5 kJ/mol of formula units
**VASP energy**: -0.30141 hartree per atom
**Calculated density**: 6.495 g cm⁻³
**SG**: No. 10

Geometry as POSCAR:
```
AcCe2TcO8
1.0
5.1364 0.0141 -0.0034
0.0534 5.1394 -0.0057
0.0045 0.0076 7.1020
Tc O Ac Ce
1 8 1 2
Cartesian
0.0000 0.0000 0.0000
1.0046 4.1772 1.4256
3.4867 3.4771 3.5448
3.7385 3.7178 -0.0063
4.1870 0.9794 1.4271
4.1896 0.9838 5.6673
1.4556 1.4432 7.0993
1.0071 4.1816 5.6659
1.7075 1.6839 3.5481
0.0022 0.0038 3.5510
2.5982 2.5825 5.3910
2.5960 2.5786 1.7020
```

Below is a geometry-optimized Ac2CeTcO8 structure, with properties calculated at the PBE-GGA level.

Properties
**Formation energy without anion corrections**: -2997.0 kJ/mol of formula units
**VASP energy**: -0.29168 hartree per atom
**Calculated density**: 7.418 g cm⁻³
**SG**: No. 10

Geometry as POSCAR:
```
Ac2CeTcO8
1.0
-0.8528 -0.1703 -4.4205
5.4885 -0.9398 -0.3110
-1.2115 -7.2463 0.5126
Tc Ac Ce O
1 2 1 8
Cartesian
0.0000 0.0000 0.0000
2.0281 -2.2880 -2.2436
1.3961 -6.0683 -1.9753
-0.6057 -3.6231 0.2563
-0.5363 -6.0254 -3.7366
0.6601 -0.2301 -1.6897
3.9606 -2.3310 -0.4823
0.1455 -1.9441 -4.0251
0.3725 -3.9191 -1.6148
3.2787 -6.4123 -0.1938
2.7642 -8.1262 -2.5292
3.0517 -4.4372 -2.6041
```

Below is a geometry-optimized AcCeTe2O structure, with properties calculated at the PBE-GGA level.

Properties
**Formation energy without anion corrections**: -1013.7 kJ/mol of formula units
**VASP energy**: -0.23366 hartree per atom
**Calculated density**: 6.846 g cm⁻³
**SG**: No. 129

Geometry as POSCAR:
```
AcCeTe2O
1.0
-0.7121 -2.1177 3.8150
4.3588 -0.5218 0.5240
0.7139 13.7793 7.7820
Te O Ac Ce
4 2 2 2
Cartesian
-0.1384 3.1419 4.2799
2.2450 1.0043 0.9765
0.2922 11.4553 8.9750
2.6757 9.3177 5.6716
0.3569 6.8897 3.8910
2.1803 5.5699 6.0605
2.4823 5.5854 3.5638
0.0549 6.8742 6.3878
2.8084 11.8808 7.1192
-0.2712 0.5788 2.8324
```